First-principles (PBE with a Hubbard U) data for an optimized crystal structure of CoTcO4F, as listed in Alexandria.

Cell and atoms, written as CIF:
```
data_CoTcO4F
_symmetry_space_group_name_H-M 'P 1 21/m 1'
_symmetry_Int_Tables_number 11
_cell_length_a 5.421
_cell_length_b 5.824
_cell_length_c 6.747
_cell_angle_alpha 90.00
_cell_angle_beta 103.48
_cell_angle_gamma 90.00
loop_
_symmetry_equiv_pos_as_xyz
'x,y,z'
'-x,-y,-z'
'-x,y+1/2,-z'
'x,-y+1/2,z'
loop_
_atom_site_label
_atom_site_type_symbol
_atom_site_fract_x
_atom_site_fract_y
_atom_site_fract_z
Co1 Co 0.170 0.250 0.462
Tc1 Tc 0.382 0.750 0.719
O1 O 0.169 0.508 0.672
O2 O 0.278 0.250 0.198
O3 O 0.441 0.750 0.465
F1 F 0.386 0.750 0.005
```

## Properties
size of the total moment	0.43	μB per atom
crystal system	monoclinic
raw total energy	-6.5061	eV/atom